1.
A relaxed structure of LaNbMo, computed with GGA-PBE.

Space-group type: Cm
Energy relative to the elements: 0.206 eV/atom
Distance to the lowest polymorph of the same formula: 0.008 eV/atom

a = 12.688 Å, b = 4.654 Å, c = 4.660 Å
α = 90.00°, β = 100.30°, γ = 90.00°
Atoms (fractional coordinates):
Mo: 0.536 0.500 0.210
La: 0.088 0.500 0.480
Mo: 0.648 0.500 0.765
Mo: 0.648 0.000 0.265
Nb: 0.908 0.000 0.392
La: 0.366 0.000 0.128
La: 0.366 0.500 0.628
Nb: 0.783 0.500 0.331
Mo: 0.536 0.000 0.710
Nb: 0.908 0.500 0.892
Nb: 0.783 0.000 0.831
La: 0.088 0.000 0.980



2.
A relaxed structure of KBe2Pb, computed with GGA-PBE.

Space-group type: I-4m2
Energy relative to the elements: 0.960 eV/atom

a = 4.960 Å, b = 4.960 Å, c = 4.960 Å
α = 120.37°, β = 120.37°, γ = 89.36°
Atoms (fractional coordinates):
Pb: 0.750 0.250 0.500
Be: 0.000 0.000 0.000
K: 0.500 0.500 0.000
Be: 0.250 0.750 0.500